1.
Density functional theory data (GGA-PBE) for a relaxed structure of Rb4Pr3HfS8.

- Energy relative to the elements, uncorrected: -1.689 eV per atom
- N(E_F): 3.99 states/eV per cell

a b c (Å): 8.2561 9.0816 8.2563
angles (deg): 117.06 120.00 90.00
Closest atoms and distances in Å follow each position.
Sites, in units of the cell vectors:
S (0.7833, 0.3081, 0.5667)  1 Hf 2.64, 2 Pr 2.90
S (0.2645, 0.2937, 0.5290)  3 Pr 2.87
S (0.2412, 0.3082, 0.0246)  1 Hf 2.64, 2 Pr 2.90
S (0.7834, 0.3082, 0.0246)  1 Hf 2.64, 2 Pr 2.90
Rb (0.0000, 0.0000, 0.5000)  6 S 3.29-3.30
S (0.2166, 0.6918, 0.9754)  1 Hf 2.64, 2 Pr 2.90
Rb (0.0000, 0.0000, 0.0000)  6 S 3.29-3.30
Hf (0.0000, 0.5000, 0.0000)  6 S 2.64
Pr (0.5000, 0.5000, 0.0000)  6 S 2.87-2.90
S (0.7588, 0.6918, 0.9754)  1 Hf 2.64, 2 Pr 2.90
Rb (0.5000, 0.0000, 0.0000)  6 S 3.51-3.52
Pr (0.5000, 0.5000, 0.5000)  6 S 2.87-2.90
S (0.2167, 0.6919, 0.4333)  1 Hf 2.64, 2 Pr 2.90
Pr (0.0000, 0.5000, 0.5000)  6 S 2.87-2.90
S (0.7355, 0.7063, 0.4710)  3 Pr 2.87
Rb (0.5000, 0.0000, 0.5000)  6 S 3.29-3.30

2.
Density functional theory data (GGA-PBE) for a relaxed structure of YInAg2.

- Energy relative to the elements: -0.224 eV/atom
- N(E_F): 3.27 states/eV per cell

a b c (Å): 4.5930 4.5930 4.2677
angles (deg): 90.00 90.00 90.00
Closest atoms and distances in Å follow each position.
Sites, in units of the cell vectors:
Ag (0.0000, 0.0000, 0.0000)  4 In 3.13, 4 Y 3.13, 4 Ag 3.25
Y (0.0000, 0.5000, 0.5000)  8 Ag 3.13, 4 In 3.25
In (0.5000, 0.0000, 0.5000)  8 Ag 3.13, 4 Y 3.25
Ag (0.5000, 0.5000, 0.0000)  4 In 3.13, 4 Y 3.13, 4 Ag 3.25

3.
Density functional theory data (GGA-PBE) for a relaxed structure of TbYCdIr.

- Energy relative to the elements: -0.545 eV/atom
- N(E_F): 2.68 states/eV per cell

a b c (Å): 5.0526 5.0526 5.0526
angles (deg): 60.00 60.00 60.00
Closest atoms and distances in Å follow each position.
Sites, in units of the cell vectors:
Ir (0.5000, 0.5000, 0.5000)  4 Tb 3.09, 4 Y 3.09
Cd (0.0000, 0.0000, 0.0000)  4 Y 3.09, 4 Tb 3.09
Tb (0.2500, 0.2500, 0.2500)  4 Cd 3.09, 4 Ir 3.09
Y (0.7500, 0.7500, 0.7500)  4 Ir 3.09, 4 Cd 3.09

4.
Density functional theory data (GGA-PBE) for a relaxed structure of YAl3.

- Energy relative to the elements: -0.092 eV/atom
- N(E_F): 5.94 states/eV per cell

a b c (Å): 5.5139 5.5139 5.5139
angles (deg): 90.00 90.00 90.00
Closest atoms and distances in Å follow each position.
Sites, in units of the cell vectors:
Al (0.7500, 0.5000, 0.0000)  2 Al 2.76, 4 Y 3.08
Al (0.0000, 0.7500, 0.5000)  2 Al 2.76, 4 Y 3.08
Y (0.0000, 0.0000, 0.0000)  12 Al 3.08
Al (0.5000, 0.0000, 0.7500)  2 Al 2.76, 4 Y 3.08
Al (0.0000, 0.2500, 0.5000)  2 Al 2.76, 4 Y 3.08
Y (0.5000, 0.5000, 0.5000)  12 Al 3.08
Al (0.2500, 0.5000, 0.0000)  2 Al 2.76, 4 Y 3.08
Al (0.5000, 0.0000, 0.2500)  2 Al 2.76, 4 Y 3.08

5.
Density functional theory data (GGA-PBE) for a relaxed structure of HoPaCuIr.

- Energy relative to the elements: -0.398 eV/atom
- N(E_F): 5.53 states/eV per cell

a b c (Å): 4.8757 4.8757 4.8757
angles (deg): 60.00 60.00 60.00
Closest atoms and distances in Å follow each position.
Sites, in units of the cell vectors:
Cu (0.2500, 0.2500, 0.2500)  4 Pa 2.99, 4 Ho 2.99
Pa (0.5000, 0.5000, 0.5000)  4 Cu 2.99, 4 Ir 2.99
Ho (0.0000, 0.0000, 0.0000)  4 Ir 2.99, 4 Cu 2.99
Ir (0.7500, 0.7500, 0.7500)  4 Ho 2.99, 4 Pa 2.99

6.
Density functional theory data (GGA-PBE) for a relaxed structure of Y2CdRh.

- Energy relative to the elements: -0.473 eV/atom
- N(E_F): 1.37 states/eV per cell

a b c (Å): 3.9163 3.9163 8.3272
angles (deg): 76.39 76.39 60.02
Closest atoms and distances in Å follow each position.
Sites, in units of the cell vectors:
Cd (0.7500, 0.7500, 0.7500)  6 Y 3.30-3.31
Y (0.5171, 0.5171, 0.4493)  3 Rh 2.77
Rh (0.2500, 0.2500, 0.2500)  6 Y 2.77
Y (0.9829, 0.9829, 0.0507)  3 Rh 2.77

Question: The highest N(E_F) belongs to which entry?
Answer: YAl3

Copy entry 2 word for word.
Density functional theory data (GGA-PBE) for a relaxed structure of YInAg2.

- Energy relative to the elements: -0.224 eV/atom
- N(E_F): 3.27 states/eV per cell

a b c (Å): 4.5930 4.5930 4.2677
angles (deg): 90.00 90.00 90.00
Closest atoms and distances in Å follow each position.
Sites, in units of the cell vectors:
Ag (0.0000, 0.0000, 0.0000)  4 In 3.13, 4 Y 3.13, 4 Ag 3.25
Y (0.0000, 0.5000, 0.5000)  8 Ag 3.13, 4 In 3.25
In (0.5000, 0.0000, 0.5000)  8 Ag 3.13, 4 Y 3.25
Ag (0.5000, 0.5000, 0.0000)  4 In 3.13, 4 Y 3.13, 4 Ag 3.25